First-principles (PBE) data for a geometry-optimized RbFeAsSe structure, as listed in the Alexandria database. Values from VASP.

Output
The value obtained for the spin magnetization is 3.44 μB/cell. For the formation energy from raw total energies, the calculation gives -0.047 eV per atom. As for the calculated volume: 115.7 Å³ per cell.

```
&SYSTEM
  ibrav = 0, nat = 4, ntyp = 4
/
ATOMIC_SPECIES
Rb 85.47 Rb.upf
Fe 55.84 Fe.upf
As 74.92 As.upf
Se 78.96 Se.upf
CELL_PARAMETERS angstrom
4.017 0.000 0.000
-2.009 3.479 0.000
0.000 0.000 8.279
ATOMIC_POSITIONS angstrom
Rb 0.000 0.000 0.000
Fe 0.000 2.319 4.874
As 0.000 2.319 2.656
Se 2.009 1.160 5.711
```

First-principles (PBE) data for a geometry-optimized RbFeAsSe structure, as listed in the Alexandria database. Values from VASP.

Output
The value obtained for the spin magnetization is 0.00 μB/cell. For the formation energy from raw total energies, the calculation gives -0.219 eV per atom. As for the calculated volume: 95.0 Å³ per cell.

```
&SYSTEM
  ibrav = 0, nat = 4, ntyp = 4
/
ATOMIC_SPECIES
Rb 85.47 Rb.upf
Fe 55.84 Fe.upf
As 74.92 As.upf
Se 78.96 Se.upf
CELL_PARAMETERS angstrom
3.874 0.000 0.000
-1.936 3.357 0.000
-0.008 -2.224 7.300
ATOMIC_POSITIONS angstrom
Rb 0.000 0.000 0.000
Fe 1.939 1.116 3.713
As 0.002 -0.003 4.418
Se 0.002 2.236 2.434
```

First-principles (PBE) data for a geometry-optimized RbFeSiAs2 structure, as listed in the Alexandria database. Values from VASP.

Output
The value obtained for the spin magnetization is 2.90 μB/cell. For the formation energy from raw total energies, the calculation gives 0.510 eV per atom. As for the calculated volume: 119.8 Å³ per cell.

```
&SYSTEM
  ibrav = 0, nat = 5, ntyp = 4
/
ATOMIC_SPECIES
Rb 85.47 Rb.upf
Fe 55.84 Fe.upf
Si 28.09 Si.upf
As 74.92 As.upf
CELL_PARAMETERS angstrom
5.103 0.000 0.000
0.000 5.103 0.000
0.000 0.000 4.598
ATOMIC_POSITIONS angstrom
Rb 0.000 0.000 0.000
Fe 2.552 2.552 0.000
Si 2.552 2.552 2.299
As 0.000 2.552 2.299
As 2.552 0.000 2.299
```

First-principles (PBE) data for a geometry-optimized Rb2SrFeAs structure, as listed in the Alexandria database. Values from VASP.

Output
The value obtained for the spin magnetization is 3.12 μB/cell. The value obtained for the energy relative to the elements is 0.437 eV per atom. As for the calculated volume: 268.8 Å³ per cell.

```
&SYSTEM
  ibrav = 0, nat = 5, ntyp = 4
/
ATOMIC_SPECIES
Rb 85.47 Rb.upf
Sr 87.62 Sr.upf
Fe 55.84 Fe.upf
As 74.92 As.upf
CELL_PARAMETERS angstrom
6.716 0.000 0.000
0.000 6.716 0.000
0.000 0.000 5.959
ATOMIC_POSITIONS angstrom
Rb 0.000 3.358 0.000
Rb 3.358 0.000 0.000
Sr 0.000 0.000 2.980
Fe 3.358 3.358 2.980
As 0.000 0.000 0.000
```

First-principles (PBE) data for a geometry-optimized RbZn2FeAs structure, as listed in the Alexandria database. Values from VASP.

Output
The value obtained for the spin magnetization is 0.00 μB/cell. The value obtained for the energy relative to the elements is 0.567 eV per atom. As for the calculated volume: 125.7 Å³ per cell.

```
&SYSTEM
  ibrav = 0, nat = 5, ntyp = 4
/
ATOMIC_SPECIES
Rb 85.47 Rb.upf
Zn 65.41 Zn.upf
Fe 55.84 Fe.upf
As 74.92 As.upf
CELL_PARAMETERS angstrom
5.313 0.000 0.000
0.000 5.313 0.000
0.000 0.000 4.453
ATOMIC_POSITIONS angstrom
Rb 0.000 0.000 0.000
Zn 0.000 2.657 2.226
Zn 2.657 0.000 2.226
Fe 2.657 2.657 0.000
As 2.657 2.657 2.226
```

First-principles (PBE) data for a geometry-optimized FeRe3As structure, as listed in the Alexandria database. Values from VASP.

Output
The value obtained for the spin magnetization is 0.00 μB/cell. The value obtained for the energy relative to the elements is 2.037 eV per atom. As for the calculated volume: 89.9 Å³ per cell.

```
&SYSTEM
  ibrav = 0, nat = 5, ntyp = 3
/
ATOMIC_SPECIES
Fe 55.84 Fe.upf
Re 186.21 Re.upf
As 74.92 As.upf
CELL_PARAMETERS angstrom
4.480 0.000 0.000
0.000 4.480 0.000
0.000 0.000 4.480
ATOMIC_POSITIONS angstrom
Fe 0.000 0.000 0.000
Re 0.000 2.240 2.240
Re 2.240 0.000 2.240
Re 2.240 2.240 0.000
As 2.240 2.240 2.240
```

First-principles (PBE) data for a geometry-optimized FeReAs2 structure, as listed in the Alexandria database. Values from VASP.

Output
The value obtained for the spin magnetization is 2.56 μB/cell. The value obtained for the energy relative to the elements is 0.317 eV per atom. As for the calculated volume: 68.2 Å³ per cell.

```
&SYSTEM
  ibrav = 0, nat = 4, ntyp = 3
/
ATOMIC_SPECIES
Fe 55.84 Fe.upf
Re 186.21 Re.upf
As 74.92 As.upf
CELL_PARAMETERS angstrom
1.487 -2.353 0.000
1.487 2.353 0.000
0.000 0.000 9.752
ATOMIC_POSITIONS angstrom
Fe 0.000 0.000 0.000
Re 1.487 0.000 2.115
As 0.000 0.000 4.251
As 1.487 0.000 7.781
```

First-principles (PBE) data for a geometry-optimized FeRe3As structure, as listed in the Alexandria database. Values from VASP.

Output
The value obtained for the spin magnetization is 0.00 μB/cell. The value obtained for the energy relative to the elements is 1.654 eV per atom. As for the calculated volume: 87.7 Å³ per cell.

```
&SYSTEM
  ibrav = 0, nat = 5, ntyp = 3
/
ATOMIC_SPECIES
Fe 55.84 Fe.upf
Re 186.21 Re.upf
As 74.92 As.upf
CELL_PARAMETERS angstrom
4.443 0.000 0.000
0.000 4.443 0.000
0.000 0.000 4.443
ATOMIC_POSITIONS angstrom
Fe 0.000 0.000 0.000
Re 0.000 0.000 2.222
Re 0.000 2.222 0.000
Re 2.222 0.000 0.000
As 2.222 2.222 2.222
```

First-principles (PBE) data for a geometry-optimized Fe2ReAs structure, as listed in the Alexandria database. Values from VASP.

Output
The value obtained for the spin magnetization is 4.98 μB/cell. The value obtained for the energy relative to the elements is 0.372 eV per atom. As for the calculated volume: 56.2 Å³ per cell.

```
&SYSTEM
  ibrav = 0, nat = 4, ntyp = 3
/
ATOMIC_SPECIES
Fe 55.84 Fe.upf
Re 186.21 Re.upf
As 74.92 As.upf
CELL_PARAMETERS angstrom
1.535 -2.204 0.000
1.535 2.204 0.000
0.000 0.000 8.311
ATOMIC_POSITIONS angstrom
Fe 0.000 0.000 0.000
Fe 1.535 0.000 1.919
Re 0.000 0.000 3.944
As 1.535 0.000 6.295
```

First-principles (PBE) data for a geometry-optimized FeReAs2 structure, as listed in the Alexandria database. Values from VASP.

Output
The value obtained for the spin magnetization is 1.76 μB/cell. The value obtained for the energy relative to the elements is 0.161 eV per atom. As for the calculated volume: 59.0 Å³ per cell.

```
&SYSTEM
  ibrav = 0, nat = 4, ntyp = 3
/
ATOMIC_SPECIES
Fe 55.84 Fe.upf
Re 186.21 Re.upf
As 74.92 As.upf
CELL_PARAMETERS angstrom
4.243 -1.587 0.000
4.243 1.587 0.000
-1.189 0.000 4.377
ATOMIC_POSITIONS angstrom
Fe 0.000 0.000 0.000
Re 1.195 0.000 2.683
As 3.622 0.000 1.997
As 6.106 0.000 0.280
```

First-principles (PBE) data for a geometry-optimized Fe2ReAs structure, as listed in the Alexandria database. Values from VASP.

Output
The value obtained for the spin magnetization is 3.66 μB/cell. The value obtained for the energy relative to the elements is 0.222 eV per atom. As for the calculated volume: 52.3 Å³ per cell.

```
&SYSTEM
  ibrav = 0, nat = 4, ntyp = 3
/
ATOMIC_SPECIES
Fe 55.84 Fe.upf
Re 186.21 Re.upf
As 74.92 As.upf
CELL_PARAMETERS angstrom
3.040 0.000 0.000
0.000 4.129 0.000
0.000 0.000 4.164
ATOMIC_POSITIONS angstrom
Fe 0.000 0.000 0.000
Fe 1.520 2.064 0.000
Re 0.000 2.064 2.082
As 1.520 0.000 2.082
```

First-principles (PBE) data for a geometry-optimized FeRe2As structure, as listed in the Alexandria database. Values from VASP.

Output
The value obtained for the spin magnetization is 2.58 μB/cell. The value obtained for the energy relative to the elements is 0.431 eV per atom. As for the calculated volume: 59.9 Å³ per cell.

```
&SYSTEM
  ibrav = 0, nat = 4, ntyp = 3
/
ATOMIC_SPECIES
Fe 55.84 Fe.upf
Re 186.21 Re.upf
As 74.92 As.upf
CELL_PARAMETERS angstrom
1.465 -2.313 0.000
1.465 2.313 0.000
0.000 0.000 8.833
ATOMIC_POSITIONS angstrom
Fe 0.000 0.000 0.000
Re 0.000 0.000 4.499
Re 1.465 0.000 6.680
As 1.465 0.000 2.076
```

Copy entry 3 word for word.
First-principles (PBE) data for a geometry-optimized RbFeSiAs2 structure, as listed in the Alexandria database. Values from VASP.

Output
The value obtained for the spin magnetization is 2.90 μB/cell. For the formation energy from raw total energies, the calculation gives 0.510 eV per atom. As for the calculated volume: 119.8 Å³ per cell.

```
&SYSTEM
  ibrav = 0, nat = 5, ntyp = 4
/
ATOMIC_SPECIES
Rb 85.47 Rb.upf
Fe 55.84 Fe.upf
Si 28.09 Si.upf
As 74.92 As.upf
CELL_PARAMETERS angstrom
5.103 0.000 0.000
0.000 5.103 0.000
0.000 0.000 4.598
ATOMIC_POSITIONS angstrom
Rb 0.000 0.000 0.000
Fe 2.552 2.552 0.000
Si 2.552 2.552 2.299
As 0.000 2.552 2.299
As 2.552 0.000 2.299
```

Question: What is the calculated volume in the eighth record?
Answer: 87.7 Å³ per cell

Question: Among the records above, which one has the highest calculated volume?
Answer: Rb2SrFeAs